Computed, not measured: a geometry-optimized AlCu2Ni structure at the GGA-PBE level of DFT.

Magnetic moment, μB per formula unit: 0.00
V, Å³/cell: 103.91
Total DFT energy (no corrections), eV per atom: -4.473

The structure in extended XYZ format:
```
8
Lattice="4.045 0.000 0.000 -2.023 3.503 0.000 0.000 0.000 7.332" Properties=species:S:1:pos:R:3 pbc="T T T"
Al 0.000 2.336 1.833
Al 2.023 1.168 5.499
Cu 0.000 2.336 4.304
Cu 0.000 2.336 6.694
Cu 2.023 1.168 0.638
Cu 2.023 1.168 3.028
Ni 0.000 0.000 0.000
Ni 0.000 0.000 3.666
```